3
Lattice="2.887 0.000 0.000 0.000 2.887 0.000 -1.444 -1.444 7.093" Properties=species:S:1:pos:R:3 comment="ErVRu (GGA-PBE, optimized geometry)" final_energy_ev_per_atom=-6.861 vol_a3_per_cell=59.1 formation_energy_ev_per_atom=0.791 pbc="T T T"
V 0.000 0.000 1.613
Ru 1.444 1.444 6.582
Er 1.444 1.444 3.863